[1]
Computed, not measured: an optimized crystal structure of LiErTlPd at the PBE-GGA level of DFT.

Cell: 4.8091 4.8091 4.8091 Å, 60.00 60.00 60.00°
Closest atoms and distances in Å follow each position.
Element x y z (fractional)
Tl  0.7500  0.7500  0.7500  4 Li 2.94, 4 Pd 2.94
Li  0.0000  0.0000  0.0000  4 Tl 2.94, 4 Er 2.94
Pd  0.5000  0.5000  0.5000  4 Tl 2.94, 4 Er 2.94
Er  0.2500  0.2500  0.2500  4 Li 2.94, 4 Pd 2.94

***

[2]
Computed, not measured: an optimized crystal structure of LiErTmPd at the PBE-GGA level of DFT.

Cell: 4.9678 4.9678 4.9678 Å, 60.00 60.00 60.00°
Closest atoms and distances in Å follow each position.
Element x y z (fractional)
Tm  0.2500  0.2500  0.2500  4 Li 3.04, 4 Pd 3.04
Li  0.0000  0.0000  0.0000  4 Er 3.04, 4 Tm 3.04
Pd  0.5000  0.5000  0.5000  4 Tm 3.04, 4 Er 3.04
Er  0.7500  0.7500  0.7500  4 Li 3.04, 4 Pd 3.04

***

Formation enthalpy at 0 K for the records above, in order: -0.497, -0.444 eV/atom